Density functional theory data (PBE) for PrTe7Pb5 after structural relaxation.

Lattice parameters (Å, degrees): 8.074 8.074 26.716 90.41 90.41 32.82
Positions (direct):
Pr  0.000  0.000  0.000
Pr  0.599  0.599  0.501
Te  0.014  0.014  0.422
Te  0.160  0.160  0.777
Te  0.186  0.186  0.200
Te  0.245  0.245  0.486
Te  0.364  0.364  0.984
Te  0.436  0.436  0.705
Te  0.463  0.463  0.274
Te  0.618  0.618  0.940
Te  0.634  0.634  0.046
Te  0.695  0.695  0.616
Te  0.740  0.740  0.346
Te  0.886  0.886  0.849
Te  0.925  0.925  0.115
Te  0.981  0.981  0.559
Pb  0.074  0.074  0.662
Pb  0.102  0.102  0.316
Pb  0.260  0.260  0.885
Pb  0.289  0.289  0.091
Pb  0.338  0.338  0.587
Pb  0.367  0.367  0.393
Pb  0.525  0.525  0.809
Pb  0.550  0.550  0.170
Pb  0.800  0.800  0.740
Pb  0.822  0.822  0.241

Calculated values
Calculated density, Mg/m³: 7.28
Formation energy from raw total energies, eV per atom: -0.551
SG: Cm
Total magnetic moment, μB per formula unit: 0.00

Density functional theory data (PBE) for Pr5Te2Pb2 after structural relaxation.

Lattice parameters (Å, degrees): 10.618 10.618 10.618 67.56 135.23 132.20
Positions (direct):
Pr  0.107  0.019  0.587
Pr  0.214  0.056  0.270
Pr  0.214  0.444  0.659
Pr  0.432  0.519  0.413
Pr  0.464  0.771  0.005
Pr  0.464  0.959  0.193
Pr  0.766  0.271  0.807
Pr  0.766  0.459  0.995
Pr  0.786  0.556  0.341
Pr  0.786  0.944  0.730
Te  0.724  0.224  0.500
Te  0.724  0.724  0.000
Te  0.905  0.179  0.226
Te  0.953  0.679  0.774
Pb  0.240  0.369  0.042
Pb  0.240  0.698  0.371
Pb  0.327  0.198  0.958
Pb  0.327  0.869  0.629

Calculated values
Calculated density, Mg/m³: 7.43
Formation energy from raw total energies, eV per atom: -0.752
DOS at the Fermi energy, states/eV per cell: 11.87
Excess energy over the best structure of this formula in the dataset, meV per atom: 199
SG: Ima2
Total magnetic moment, μB per formula unit: 0.00